Record 1
The following is a PBE-GGA calculation of a relaxed structure of Y2PH2, from Alexandria via LeMat-Bulk.

The structure in POSCAR format:
```
Y2PH2
1.0
-1.627 0.951 -3.035
-2.671 -2.260 0.723
-5.012 3.650 1.727
Y P H
2 1 2
direct
0.366 0.366 0.267
0.634 0.634 0.733
0.000 0.000 0.000
0.750 0.250 0.500
0.250 0.750 0.500
```

- total DFT energy (no corrections) (eV per atom) = -5.9334
- theoretical density (g cm⁻³) = 4.63
- Fermi-level density of states (states/eV per atom) = 0.488

Record 2
The following is a PBE-GGA calculation of a relaxed structure of Y2PH, from Alexandria via LeMat-Bulk.

The structure in POSCAR format:
```
Y2PH
1.0
3.841 0.000 0.000
1.921 3.327 0.000
1.921 1.109 6.844
Y P H
2 1 1
direct
0.095 0.095 0.715
0.272 0.272 0.185
0.679 0.679 0.964
0.455 0.455 0.636
```

- energy relative to the lowest polymorph listed for this composition (meV per atom) = 112.3
- theoretical density (g cm⁻³) = 3.98

Record 3
The following is a PBE-GGA calculation of a relaxed structure of Y2PH, from Alexandria via LeMat-Bulk.

The structure in POSCAR format:
```
Y2PH
1.0
0.000 3.329 3.329
3.329 0.000 3.329
3.329 3.329 0.000
Y P H
2 1 1
direct
0.250 0.250 0.250
0.750 0.750 0.750
0.500 0.500 0.500
0.000 0.000 0.000
```

- energy relative to the lowest polymorph listed for this composition (meV per atom) = 312.4
- theoretical density (g cm⁻³) = 4.72
- Fermi-level density of states (states/eV per atom) = 0.857

Record 4
The following is a PBE-GGA calculation of a relaxed structure of Y2PH, from Alexandria via LeMat-Bulk.

The structure in POSCAR format:
```
Y2PH
1.0
3.903 0.000 0.000
1.952 3.380 0.000
1.952 1.127 5.892
Y P H
2 1 1
direct
0.253 0.253 0.240
0.747 0.747 0.760
0.500 0.500 0.500
0.000 0.000 0.000
```

- energy relative to the lowest polymorph listed for this composition (meV per atom) = 0.0
- theoretical density (g cm⁻³) = 4.48
- Fermi-level density of states (states/eV per atom) = 0.371

Record 5
The following is a PBE-GGA calculation of a relaxed structure of YPH, from Alexandria via LeMat-Bulk.

The structure in POSCAR format:
```
YPH
1.0
5.695 0.000 0.000
0.000 5.738 0.000
0.000 0.000 11.424
Y P H
8 8 8
direct
0.250 0.529 0.384
0.750 0.971 0.884
0.250 0.029 0.116
0.750 0.471 0.616
0.250 0.989 0.632
0.750 0.511 0.132
0.250 0.489 0.868
0.750 0.011 0.368
0.250 0.516 0.134
0.750 0.984 0.634
0.250 0.016 0.366
0.750 0.484 0.866
0.250 0.986 0.872
0.750 0.514 0.372
0.250 0.486 0.628
0.750 0.014 0.128
0.078 0.169 0.453
0.922 0.331 0.953
0.422 0.669 0.047
0.578 0.831 0.547
0.922 0.831 0.547
0.078 0.669 0.047
0.578 0.331 0.953
0.422 0.169 0.453
```

- total DFT energy (no corrections) (eV per atom) = -5.8373
- theoretical density (g cm⁻³) = 4.30
- Fermi-level density of states (states/eV per atom) = 0.365

Record 6
The following is a PBE-GGA calculation of a relaxed structure of ZnPH, from Alexandria via LeMat-Bulk.

The structure in POSCAR format:
```
ZnPH
1.0
3.853 0.000 1.345
1.692 3.462 1.345
-0.573 -0.358 7.831
Zn P H
2 2 2
direct
0.601 0.601 0.196
0.399 0.399 0.804
0.740 0.740 0.779
0.260 0.260 0.221
0.804 0.804 0.588
0.196 0.196 0.412
```

- energy relative to the lowest polymorph listed for this composition (meV per atom) = 16.8
- theoretical density (g cm⁻³) = 2.99

Record 7
The following is a PBE-GGA calculation of a relaxed structure of ZnPH5, from Alexandria via LeMat-Bulk.

The structure in POSCAR format:
```
ZnPH5
1.0
2.360 -6.538 -2.727
5.579 -1.366 -4.777
-2.121 1.865 7.908
Zn P H
2 2 10
direct
0.070 0.823 0.893
0.070 0.324 0.393
0.671 0.526 0.866
0.342 0.697 0.366
0.856 0.107 0.094
0.989 0.738 0.594
0.542 0.829 0.591
0.140 0.412 0.688
0.448 0.401 0.295
0.226 0.869 0.567
0.697 0.842 0.066
0.894 0.349 0.794
0.765 0.552 0.093
0.277 0.049 0.188
```

- total DFT energy (no corrections) (eV per atom) = -3.2898
- theoretical density (g cm⁻³) = 1.71
- Fermi-level density of states (states/eV per atom) = 0.000

Record 8
The following is a PBE-GGA calculation of a relaxed structure of ZnPH, from Alexandria via LeMat-Bulk.

The structure in POSCAR format:
```
ZnPH
1.0
6.358 0.000 0.000
0.000 5.746 -0.014
0.000 -1.626 6.701
P Zn H
4 4 4
direct
0.963 0.721 0.694
0.537 0.721 0.194
0.037 0.279 0.306
0.463 0.279 0.806
0.301 0.390 0.121
0.699 0.610 0.879
0.801 0.610 0.379
0.199 0.390 0.621
0.515 0.039 0.706
0.485 0.961 0.294
0.985 0.039 0.206
0.015 0.961 0.794
```

- energy relative to the lowest polymorph listed for this composition (meV per atom) = 66.2
- theoretical density (g cm⁻³) = 2.64
- Fermi-level density of states (states/eV per atom) = 0.000

Record 9
The following is a PBE-GGA calculation of a relaxed structure of ZnPH, from Alexandria via LeMat-Bulk.

The structure in POSCAR format:
```
ZnPH
1.0
4.519 0.000 0.000
0.000 4.084 0.000
-0.720 0.000 5.958
Zn P H
2 2 2
direct
0.136 0.000 0.476
0.638 0.500 0.975
0.828 0.000 0.129
0.327 0.500 0.630
0.077 0.000 0.001
0.573 0.500 0.499
```

- energy relative to the lowest polymorph listed for this composition (meV per atom) = 21.9
- theoretical density (g cm⁻³) = 2.94

Record 10
The following is a PBE-GGA calculation of a relaxed structure of Zn2PH, from Alexandria via LeMat-Bulk.

The structure in POSCAR format:
```
Zn2PH
1.0
4.615 0.000 0.000
0.000 4.615 0.000
2.307 2.307 5.614
P Zn H
2 4 2
direct
0.000 0.000 0.000
0.750 0.250 0.500
0.561 0.125 0.250
0.189 0.625 0.250
0.375 0.439 0.750
0.875 0.811 0.750
0.500 0.500 0.000
0.250 0.750 0.500
```

- energy relative to the lowest polymorph listed for this composition (meV per atom) = 103.6
- theoretical density (g cm⁻³) = 4.52
- Fermi-level density of states (states/eV per atom) = 0.011

Record 11
The following is a PBE-GGA calculation of a relaxed structure of ZnPH, from Alexandria via LeMat-Bulk.

The structure in POSCAR format:
```
ZnPH
1.0
-3.600 -0.712 -1.275
1.301 -0.737 -3.869
0.813 -6.248 0.442
Zn P H
2 2 2
direct
0.786 0.281 0.687
0.786 0.064 0.161
0.270 0.092 0.898
0.698 0.524 0.339
0.285 0.765 0.851
0.330 0.538 0.355
```

- energy relative to the lowest polymorph listed for this composition (meV per atom) = 16.8
- theoretical density (g cm⁻³) = 3.22

Record 12
The following is a PBE-GGA calculation of a relaxed structure of Zn2PH, from Alexandria via LeMat-Bulk.

The structure in POSCAR format:
```
Zn2PH
1.0
-3.644 -1.023 -1.764
-3.583 1.306 1.701
-2.282 2.921 -1.923
P Zn H
1 2 1
direct
0.500 0.500 0.500
0.250 0.250 0.250
0.750 0.750 0.750
0.000 0.000 0.000
```

- energy relative to the lowest polymorph listed for this composition (meV per atom) = 383.7
- theoretical density (g cm⁻³) = 5.25
- Fermi-level density of states (states/eV per atom) = 0.320